1.
Density functional theory data (PBE) for crystalline Li2Hg3Pb2 at its relaxed geometry.

Properties
Calculated formation energy in eV per formula unit: -1.2

a = 5.929 Å, b = 5.929 Å, c = 7.318 Å
α = 111.21°, β = 111.21°, γ = 44.12°
Sites, in units of the cell vectors:
Li  0.138  0.138  0.221
Li  0.862  0.862  0.779
Hg  0.374  0.374  0.544
Hg  0.500  0.500  0.000
Hg  0.626  0.626  0.456
Pb  0.154  0.154  0.802
Pb  0.846  0.846  0.198

***

2.
Density functional theory data (PBE) for crystalline Li8Hg3Pb at its relaxed geometry.

Properties
Calculated formation energy in eV per formula unit: -2.7

a = 6.204 Å, b = 6.204 Å, c = 7.709 Å
α = 116.79°, β = 116.79°, γ = 76.92°
Sites, in units of the cell vectors:
Li  0.000  0.000  0.000
Li  0.258  0.644  0.768
Li  0.272  0.918  0.438
Li  0.513  0.513  0.193
Li  0.644  0.258  0.768
Li  0.757  0.757  0.078
Li  0.857  0.857  0.508
Li  0.918  0.272  0.438
Hg  0.077  0.473  0.268
Hg  0.206  0.206  0.817
Hg  0.473  0.077  0.268
Pb  0.648  0.648  0.651

***

3.
Density functional theory data (PBE) for crystalline Li2HgPd4Pb at its relaxed geometry.

Properties
Calculated formation energy in eV per formula unit: -3.0

a = 7.890 Å, b = 7.890 Å, c = 7.890 Å
α = 33.50°, β = 33.50°, γ = 33.50°
Sites, in units of the cell vectors:
Li  0.247  0.247  0.247
Li  0.753  0.753  0.753
Hg  0.500  0.500  0.500
Pd  0.124  0.124  0.124
Pd  0.375  0.375  0.375
Pd  0.625  0.625  0.625
Pd  0.876  0.876  0.876
Pb  0.000  0.000  0.000

***

4.
Density functional theory data (PBE) for crystalline LiHgPdPb at its relaxed geometry.

Properties
Calculated formation energy in eV per formula unit: -1.2

a = 4.798 Å, b = 4.798 Å, c = 4.798 Å
α = 60.00°, β = 60.00°, γ = 60.00°
Sites, in units of the cell vectors:
Li  0.000  0.000  0.000
Hg  0.750  0.750  0.750
Pd  0.500  0.500  0.500
Pb  0.250  0.250  0.250

***

5.
Density functional theory data (PBE) for crystalline Li5Hg2PdPb2 at its relaxed geometry.

Properties
Calculated formation energy in eV per formula unit: -2.5

a = 11.284 Å, b = 11.284 Å, c = 3.175 Å
α = 90.00°, β = 90.00°, γ = 90.00°
Sites, in units of the cell vectors:
Li  0.000  0.500  0.000
Li  0.044  0.180  0.000
Li  0.180  0.956  0.000
Li  0.320  0.456  0.000
Li  0.456  0.680  0.000
Li  0.500  0.000  0.000
Li  0.544  0.320  0.000
Li  0.680  0.544  0.000
Li  0.820  0.044  0.000
Li  0.956  0.820  0.000
Hg  0.136  0.364  0.500
Hg  0.364  0.864  0.500
Hg  0.636  0.136  0.500
Hg  0.864  0.636  0.500
Pd  0.000  0.000  0.500
Pd  0.500  0.500  0.500
Pb  0.170  0.670  0.500
Pb  0.330  0.170  0.500
Pb  0.670  0.830  0.500
Pb  0.830  0.330  0.500

***

6.
Density functional theory data (PBE) for crystalline LiPr2Hg4Pb2 at its relaxed geometry.

Properties
Calculated formation energy in eV per formula unit: -3.3

a = 6.968 Å, b = 6.968 Å, c = 6.968 Å
α = 121.99°, β = 121.99°, γ = 86.59°
Sites, in units of the cell vectors:
Li  0.000  0.000  0.000
Pr  0.250  0.750  0.500
Pr  0.750  0.250  0.500
Hg  0.267  0.267  0.534
Hg  0.267  0.733  0.000
Hg  0.733  0.267  0.000
Hg  0.733  0.733  0.466
Pb  0.270  0.270  0.000
Pb  0.730  0.730  0.000